VASP calculation (PBE-GGA) on a relaxed structure of CaTbPmNd.

POSCAR file:
```
CaTbPmNd
1.0
-0.095 1.884 -5.533
-3.165 -2.851 -4.004
-4.847 2.440 -2.174
Pm Ca Tb Nd
1 1 1 1
Cartesian
-4.053 0.737 -5.856
-2.027 0.368 -2.928
-6.080 1.105 -8.784
0.000 0.000 0.000
```

Computed properties:
The value obtained for the formation energy from the elements is 0.128 eV per atom. As for the raw total energy: -3.91 eV/atom. For the energy above the lowest structure with this stoichiometry, the calculation gives 83 meV/atom.